Record 1
Re2TcGe: relaxed, PBE.

Cell and atoms, written as POSCAR:
```
Re2TcGe
1.0
-1.8769 1.8769 9.2340
1.8769 -1.8769 9.2340
1.8769 1.8769 -9.2340
Re Tc Ge
4 2 2
Direct
0.0916 0.6250 0.9666 Re
0.3750 0.3416 0.4666 Re
0.6584 0.1250 0.0334 Re
0.8750 0.9084 0.5334 Re
0.2500 0.7500 0.5000 Tc
0.5000 0.5000 0.0000 Tc
0.0000 0.0000 0.0000 Ge
0.7500 0.2500 0.5000 Ge
```

Output
Energy of formation from the pure elements (eV/f.u.): 2.687
V (Å³/atom): 16.3
Fermi-level density of states (states/eV per atom): 0.863

=====

Record 2
ReTcGe2: relaxed, PBE.

Cell and atoms, written as POSCAR:
```
ReTcGe2
1.0
1.4286 0.8248 9.1177
-1.4286 0.8248 9.1177
0.0000 -1.6496 9.1177
Re Tc Ge
1 1 2
Direct
0.0000 0.0000 0.0000 Re
0.5000 0.5000 0.5000 Tc
0.0938 0.0938 0.0938 Ge
0.9062 0.9062 0.9062 Ge
```

Output
Energy of formation from the pure elements (eV/f.u.): 1.357
V (Å³/atom): 16.1
Fermi-level density of states (states/eV per atom): 0.914

=====

Record 3
ReTc6Ge: relaxed, PBE.

Cell and atoms, written as POSCAR:
```
ReTc6Ge
1.0
3.4732 2.0052 2.8325
-3.4732 2.0052 2.8325
0.0000 -4.0104 2.8325
Re Tc Ge
1 6 1
Direct
0.0000 0.0000 0.0000 Re
0.0005 0.4990 0.2530 Tc
0.2529 0.0005 0.4990 Tc
0.4990 0.2529 0.0005 Tc
0.5010 0.7470 0.9995 Tc
0.7471 0.9995 0.5010 Tc
0.9995 0.5010 0.7471 Tc
0.5000 0.5000 0.5000 Ge
```

Output
Energy of formation from the pure elements (eV/f.u.): 0.710
V (Å³/atom): 14.8
Fermi-level density of states (states/eV per atom): 1.005

=====

Record 4
ReTc2Ge: relaxed, PBE.

Cell and atoms, written as POSCAR:
```
ReTc2Ge
1.0
1.4142 0.8165 8.5969
-1.4142 0.8165 8.5969
0.0000 -1.6330 8.5969
Re Tc Ge
1 2 1
Direct
0.0000 0.0000 0.0000 Re
0.2498 0.2498 0.2498 Tc
0.7502 0.7502 0.7502 Tc
0.5000 0.5000 0.5000 Ge
```

Output
Energy of formation from the pure elements (eV/f.u.): 0.218
V (Å³/atom): 14.9
Fermi-level density of states (states/eV per atom): 1.016

=====

Record 5
Re2Tc3Ge2: relaxed, PBE.

Cell and atoms, written as POSCAR:
```
Re2Tc3Ge2
1.0
6.5181 -2.1366 0.0000
6.5181 2.1366 0.0000
-1.3447 0.0000 3.9675
Re Tc Ge
2 3 2
Direct
0.1148 0.1148 0.1141 Re
0.8852 0.8852 0.8859 Re
0.2399 0.2399 0.7394 Tc
0.5000 0.5000 0.0000 Tc
0.7601 0.7601 0.2606 Tc
0.3798 0.3798 0.3794 Ge
0.6202 0.6202 0.6206 Ge
```

Output
Energy of formation from the pure elements (eV/f.u.): 1.148
V (Å³/atom): 15.8
Fermi-level density of states (states/eV per atom): 0.667

=====

Record 6
Re2TcGe: relaxed, PBE.

Cell and atoms, written as POSCAR:
```
Re2TcGe
1.0
2.0786 1.2001 4.4229
-2.0786 1.2001 4.4229
0.0000 -2.4001 4.4229
Re Tc Ge
2 1 1
Direct
0.0000 0.0000 0.0000 Re
0.1847 0.1847 0.1847 Re
0.7821 0.7821 0.7821 Tc
0.5897 0.5897 0.5897 Ge
```

Output
Energy of formation from the pure elements (eV/f.u.): 1.434
V (Å³/atom): 16.5
Fermi-level density of states (states/eV per atom): 0.593

=====

Record 7
ReTcGe2: relaxed, PBE.

Cell and atoms, written as POSCAR:
```
ReTcGe2
1.0
0.0000 3.0753 3.0753
3.0753 0.0000 3.0753
3.0753 3.0753 0.0000
Re Tc Ge
1 1 2
Direct
0.0000 0.0000 0.0000 Re
0.5000 0.5000 0.5000 Tc
0.2500 0.2500 0.2500 Ge
0.7500 0.7500 0.7500 Ge
```

Output
Energy of formation from the pure elements (eV/f.u.): 0.473
V (Å³/atom): 14.5
Fermi-level density of states (states/eV per atom): 1.048

=====

Record 8
ThReTcGe2: relaxed, PBE.

Cell and atoms, written as POSCAR:
```
ThReTcGe2
1.0
-2.1402 2.1402 5.1815
2.1402 -2.1402 5.1815
2.1402 2.1402 -5.1815
Th Re Tc Ge
1 1 1 2
Direct
0.0000 0.0000 0.0000 Th
0.2500 0.7500 0.5000 Re
0.7500 0.2500 0.5000 Tc
0.3748 0.3748 0.0000 Ge
0.6252 0.6252 0.0000 Ge
```

Output
Energy of formation from the pure elements (eV/f.u.): -1.672
V (Å³/atom): 19.0
Fermi-level density of states (states/eV per atom): 0.776